A relaxed structure of Ac2UTl2S6. Source: Alexandria, functional PBE.

```
Ac2UTl2S6
1.0
-4.2893 -1.6216 -5.8654
-0.8215 -3.8862 6.2971
-3.3972 6.6966 2.2155
Ac U Tl S
2 1 2 6
direct
0.3346 0.6654 0.5000
0.6654 0.3346 0.5000
0.0000 0.0000 0.5000
0.8347 0.1653 0.0000
0.1653 0.8347 0.0000
0.7663 0.7663 0.7040
0.0630 0.3734 0.6972
0.2337 0.2337 0.2960
0.3734 0.0630 0.6972
0.9370 0.6266 0.3028
0.6266 0.9370 0.3028
```

formation energy (no corrections): -1.444 eV per atom
crystal system: monoclinic
spin magnetization: 2.00 Bohr magnetons per cell